K2SrSc: relaxed, PBE-GGA.

Cell and atoms, written as POSCAR:
```
K2SrSc
1.0
0.0000 4.6273 4.6273
4.6273 0.0000 4.6273
4.6273 4.6273 0.0000
K Sr Sc
2 1 1
Direct
0.2500 0.2500 0.2500 K
0.7500 0.7500 0.7500 K
0.5000 0.5000 0.5000 Sr
0.0000 0.0000 0.0000 Sc
```

Computed properties:
* crystal system: cubic
* energy of formation from the pure elements: 0.614 eV/atom
* energy above the most stable polymorph in this dataset: 1.04 eV per formula unit


Cd6PdPt2: relaxed, PBE-GGA.

Cell and atoms, written as POSCAR:
```
Cd6PdPt2
1.0
-3.4932 1.1079 -2.7732
3.2575 -2.2471 -5.0008
-2.6157 -5.6488 4.9006
Cd Pt Pd
6 2 1
Direct
0.1666 0.4176 0.3340 Cd
0.5000 0.2484 0.0000 Cd
0.5000 0.7516 0.0000 Cd
0.1666 0.9164 0.3340 Cd
0.8334 0.5824 0.6660 Cd
0.8334 0.0836 0.6660 Cd
0.6656 0.6661 0.3323 Pt
0.3344 0.3339 0.6677 Pt
0.0000 0.0000 0.0000 Pd
```

Computed properties:
* crystal system: monoclinic
* energy of formation from the pure elements: -0.225 eV/atom
* energy above the most stable polymorph in this dataset: 0.16 eV per formula unit


YZnP2: relaxed, PBE-GGA.

Cell and atoms, written as POSCAR:
```
YZnP2
1.0
-3.9246 0.4827 2.5976
-3.8289 -2.5951 -0.9942
-1.3368 -3.4637 2.9324
P Y Zn
2 1 1
Direct
0.2500 0.2500 0.2500 P
0.0000 0.0000 0.0000 P
0.5000 0.5000 0.5000 Y
0.7500 0.7500 0.7500 Zn
```

Computed properties:
* crystal system: cubic
* energy of formation from the pure elements: -0.074 eV/atom


Pu2SnGe3Pd4: relaxed, PBE-GGA.

Cell and atoms, written as POSCAR:
```
Pu2SnGe3Pd4
1.0
4.2300 0.0000 0.0000
0.0000 4.2300 0.0000
0.0000 0.0000 11.0502
Sn Pu Ge Pd
1 2 3 4
Direct
0.5000 0.5000 0.5000 Sn
0.5000 0.0000 0.2373 Pu
0.0000 0.5000 0.7627 Pu
0.0000 0.0000 0.5000 Ge
0.0000 0.5000 0.1292 Ge
0.5000 0.0000 0.8708 Ge
0.5000 0.5000 0.0000 Pd
0.5000 0.0000 0.6487 Pd
0.0000 0.5000 0.3513 Pd
0.0000 0.0000 0.0000 Pd
```

Computed properties:
* crystal system: tetragonal
* energy of formation from the pure elements: -0.559 eV/atom


CaTc2Br: relaxed, PBE-GGA.

Cell and atoms, written as POSCAR:
```
CaTc2Br
1.0
4.0448 0.0068 0.0116
2.0919 3.4619 0.0116
2.6022 1.4709 7.0413
Ca Tc Br
1 2 1
Direct
0.7509 0.7509 0.7749 Ca
0.2583 0.2583 0.1367 Tc
0.9506 0.9506 0.0826 Tc
0.5402 0.5402 0.5058 Br
```

Computed properties:
* crystal system: monoclinic
* E_form (uncorrected): 0.0539 eV/atom
* energy above the most stable polymorph in this dataset: 0.46 eV per formula unit


La4Te2SeS: relaxed, PBE-GGA.

Cell and atoms, written as POSCAR:
```
La4Te2SeS
1.0
4.3701 0.0000 0.0000
0.0000 7.6055 0.1416
0.0000 -2.6502 7.2656
Se Te La S
1 2 4 1
Direct
0.0000 0.0000 0.0000 Se
0.5000 0.0000 0.5000 Te
0.0000 0.5000 0.5000 Te
0.5000 0.2483 0.2183 La
0.5000 0.7517 0.7817 La
0.0000 0.2702 0.7860 La
0.0000 0.7298 0.2140 La
0.5000 0.5000 0.0000 S
```

Computed properties:
* crystal system: monoclinic
* E_form (uncorrected): -1.8376 eV/atom


HoGa2Ag4: relaxed, PBE-GGA.

Cell and atoms, written as POSCAR:
```
HoGa2Ag4
1.0
4.2024 0.0000 0.0000
0.0000 4.2156 0.0000
0.0000 -2.1078 7.6856
Ag Ga Ho
4 2 1
Direct
0.5000 0.1819 0.3638 Ag
0.0000 0.3183 0.6367 Ag
0.0000 0.6817 0.3633 Ag
0.5000 0.8181 0.6362 Ag
0.5000 0.5790 0.1580 Ga
0.5000 0.4210 0.8420 Ga
0.0000 0.0000 0.0000 Ho
```

Computed properties:
* crystal system: orthorhombic
* energy of formation from the pure elements: -0.223 eV/atom
* energy above the most stable polymorph in this dataset: 0.00 eV per formula unit


PrHo6Er12: relaxed, PBE-GGA.

Cell and atoms, written as POSCAR:
```
PrHo6Er12
1.0
8.8625 -0.4281 -2.5431
-3.2613 8.2517 -2.5431
-0.3065 -0.4281 9.2151
Pr Ho Er
1 6 12
Direct
0.0000 0.0000 0.0000 Pr
0.3126 0.3126 0.7355 Ho
0.3126 0.7355 0.3126 Ho
0.6874 0.6874 0.2645 Ho
0.2645 0.6874 0.6874 Ho
0.6874 0.2645 0.6874 Ho
0.7355 0.3126 0.3126 Ho
0.1106 0.5000 0.8894 Er
0.5000 0.1106 0.8894 Er
0.8894 0.1106 0.5000 Er
0.3668 0.3668 0.1479 Er
0.8521 0.6332 0.6332 Er
0.3668 0.1479 0.3668 Er
0.6332 0.6332 0.8521 Er
0.8894 0.5000 0.1106 Er
0.1479 0.3668 0.3668 Er
0.1106 0.8894 0.5000 Er
0.6332 0.8521 0.6332 Er
0.5000 0.8894 0.1106 Er
```

Computed properties:
* crystal system: trigonal
* energy of formation from the pure elements: 0.440 eV/atom
* energy above the most stable polymorph in this dataset: 5.30 eV per formula unit